# Nd6Tm8Al GGA-PBE optimized geometry
data_Nd6Tm8Al
_chemical_formula_sum 'Nd6 Tm8 Al1'
_space_group_name_H-M_alt 'P -3'
_space_group_IT_number 147
_space_group_name_Hall '-P 3'
_cell_length_a 9.4550
_cell_length_b 9.4550
_cell_length_c 6.2013
_cell_angle_alpha 90.00
_cell_angle_beta 90.00
_cell_angle_gamma 120.00
loop_
_atom_site_label
_atom_site_type_symbol
_atom_site_fract_x
_atom_site_fract_y
_atom_site_fract_z
Nd1 Nd 0.0894 0.6359 0.3041
Tm1 Tm 0.0403 0.7840 0.7992
Tm2 Tm 0.3333 0.6667 0.8093
Al1 Al 0.0000 0.0000 0.5000
# formation enthalpy at 0 K	0.077	eV per atom
# calculated total energy	-0.164	Ha/atom